4
Lattice="0.0000 3.5917 3.5917 3.5917 0.0000 3.5917 3.5917 3.5917 0.0000" Properties=species:S:1:pos:R:3 comment="CaTbSiAu PBE optimized geometry" volume_a3_per_atom=23.17 dos_ef_per_ev_cell=1.30 total_energy_ev_per_atom=-4.4893 m_tot_mub_per_fu=0.00 pbc="T T T"
Ca 0.0000 0.0000 0.0000
Tb 3.5917 3.5917 3.5917
Si 5.3876 5.3876 5.3876
Au 1.7959 1.7959 1.7959